Record 1
Material: Ac4LaPt3
Method: DFT, GGA-PBE
State: relaxed

## Properties
- ΔE_f (kJ/mol of formula units) = -689.5
- space group = No. 9
- DFT total energy (eV/atom) = -5.8287
- total magnetic moment (μB/f.u.) = 0.0

abc: 8.2939 8.2939 11.2662
angles: 110.33 110.33 54.69
With the nearest neighbours (Å) after each atom.
Fractional positions:
1 Ac 0.0223 0.3561 0.4109  4 Pt 3.05-3.12
2 Ac 0.1616 0.8384 0.5000  4 Pt 3.05-3.12
3 Ac 0.3561 0.0223 0.9109  4 Pt 3.05-3.12
4 Ac 0.4144 0.7694 0.2025  4 Pt 3.08-3.13
5 Ac 0.6204 0.9588 0.6030  3 Pt 3.02-3.05
6 Ac 0.7694 0.4144 0.7025  4 Pt 3.08-3.13
7 Ac 0.8384 0.1616 0.0000  4 Pt 3.05-3.12
8 Ac 0.9588 0.6204 0.1030  3 Pt 3.02-3.05
9 La 0.2302 0.5679 0.8033  3 Pt 2.93-2.95
10 La 0.5679 0.2302 0.3033  3 Pt 2.93-2.95
11 Pt 0.2052 0.2055 0.6672  1 La 2.95, 5 Ac 3.02-3.12
12 Pt 0.2055 0.2052 0.1672  1 La 2.95, 5 Ac 3.02-3.12
13 Pt 0.5900 0.5897 0.4513  1 La 2.94, 5 Ac 3.05-3.13
14 Pt 0.5897 0.5900 0.9513  1 La 2.94, 5 Ac 3.05-3.13
15 Pt 0.9748 0.9968 0.2475  1 La 2.93, 5 Ac 3.03-3.13
16 Pt 0.9968 0.9748 0.7475  1 La 2.93, 5 Ac 3.03-3.13

Record 2
Material: Ac2LaPt
Method: DFT, GGA-PBE
State: relaxed

## Properties
- ΔE_f (kJ/mol of formula units) = -228.3
- space group = No. 11
- DFT total energy (eV/atom) = -5.3879
- total magnetic moment (μB/f.u.) = 0.0

abc: 4.0877 10.6881 6.8284
angles: 90.00 107.37 90.00
With the nearest neighbours (Å) after each atom.
Fractional positions:
1 Ac 0.1402 0.0670 0.2780  2 Pt 3.12
2 Ac 0.1402 0.4330 0.2780  2 Pt 3.12
3 Ac 0.8598 0.5670 0.7220  2 Pt 3.12
4 Ac 0.8598 0.9330 0.7220  2 Pt 3.12
5 La 0.4064 0.2500 0.8137  2 Pt 2.99
6 La 0.5936 0.7500 0.1863  2 Pt 2.99
7 Pt 0.2602 0.7500 0.5214  2 La 2.99, 4 Ac 3.12
8 Pt 0.7398 0.2500 0.4786  2 La 2.99, 4 Ac 3.12

Record 3
Material: AcLa4Pt
Method: DFT, GGA-PBE
State: relaxed

## Properties
- ΔE_f (kJ/mol of formula units) = -200.5
- space group = No. 15
- DFT total energy (eV/atom) = -5.3229
- total magnetic moment (μB/f.u.) = 0.0

abc: 9.5225 9.5225 7.5700
angles: 105.72 105.72 42.02
With the nearest neighbours (Å) after each atom.
Fractional positions:
1 Ac 0.0411 0.9589 0.7500  8 La 3.74-3.84, 2 Ac 3.83
2 Ac 0.9589 0.0411 0.2500  8 La 3.74-3.84, 2 Ac 3.83
3 La 0.0902 0.2865 0.6280  2 Pt 2.90
4 La 0.2865 0.0902 0.1280  2 Pt 2.90
5 La 0.3119 0.4971 0.9820  1 Pt 2.99
6 La 0.4971 0.3119 0.4820  1 Pt 2.99
7 La 0.5029 0.6881 0.5180  1 Pt 2.99
8 La 0.6881 0.5029 0.0180  1 Pt 2.99
9 La 0.7135 0.9098 0.8720  2 Pt 2.90
10 La 0.9098 0.7135 0.3720  2 Pt 2.90
11 Pt 0.0000 0.5000 0.0000  6 La 2.90-2.99
12 Pt 0.5000 0.0000 0.5000  6 La 2.90-2.99

Record 4
Material: AcLa2Pt3
Method: DFT, GGA-PBE
State: relaxed

## Properties
- ΔE_f (kJ/mol of formula units) = -675.1
- space group = No. 70
- DFT total energy (eV/atom) = -6.5137
- total magnetic moment (μB/f.u.) = 0.0

abc: 14.2282 13.5615 7.4598
angles: 79.43 69.55 31.02
With the nearest neighbours (Å) after each atom.
Fractional positions:
1 Ac 0.0418 0.0418 0.2082  6 Pt 3.08-3.09
2 Ac 0.2082 0.2082 0.0418  6 Pt 3.08-3.09
3 Ac 0.7918 0.7918 0.9582  6 Pt 3.08-3.09
4 Ac 0.9582 0.9582 0.7918  6 Pt 3.08-3.09
5 La 0.1242 0.1242 0.6258  6 Pt 3.00-3.05
6 La 0.2912 0.2912 0.4588  6 Pt 3.00-3.04
7 La 0.3742 0.3742 0.8758  6 Pt 3.00-3.05
8 La 0.4588 0.4588 0.2912  6 Pt 3.00-3.04
9 La 0.5412 0.5412 0.7088  6 Pt 3.00-3.04
10 La 0.6258 0.6258 0.1242  6 Pt 3.00-3.05
11 La 0.7088 0.7088 0.5412  6 Pt 3.00-3.04
12 La 0.8758 0.8758 0.3742  6 Pt 3.00-3.05
13 Pt 0.0429 0.5434 0.2138  4 La 3.00-3.04, 2 Ac 3.09
14 Pt 0.1319 0.6181 0.6181  4 La 3.01-3.05, 2 Ac 3.08
15 Pt 0.2138 0.6999 0.0429  4 La 3.00-3.04, 2 Ac 3.09
16 Pt 0.3001 0.7862 0.4566  4 La 3.00-3.04, 2 Ac 3.09
17 Pt 0.3819 0.8681 0.8681  4 La 3.01-3.05, 2 Ac 3.08
18 Pt 0.4566 0.9571 0.3001  4 La 3.00-3.04, 2 Ac 3.09
19 Pt 0.5434 0.0429 0.6999  4 La 3.00-3.04, 2 Ac 3.09
20 Pt 0.6181 0.1319 0.1319  4 La 3.01-3.05, 2 Ac 3.08
21 Pt 0.6999 0.2138 0.5434  4 La 3.00-3.04, 2 Ac 3.09
22 Pt 0.7862 0.3001 0.9571  4 La 3.00-3.04, 2 Ac 3.09
23 Pt 0.8681 0.3819 0.3819  4 La 3.01-3.05, 2 Ac 3.08
24 Pt 0.9571 0.4566 0.7862  4 La 3.00-3.04, 2 Ac 3.09

Record 5
Material: Ac2La3Pt3
Method: DFT, GGA-PBE
State: relaxed

## Properties
- ΔE_f (kJ/mol of formula units) = -637.6
- space group = No. 8
- DFT total energy (eV/atom) = -5.9662
- total magnetic moment (μB/f.u.) = 0.0

abc: 7.3469 7.3469 14.5455
angles: 91.52 91.52 48.12
With the nearest neighbours (Å) after each atom.
Fractional positions:
1 Ac 0.0000 0.0000 0.0000  4 Pt 3.00-3.16
2 Ac 0.0131 0.0131 0.3630  4 Pt 3.00-3.13
3 Ac 0.3103 0.3103 0.8584  4 Pt 3.00-3.22
4 Ac 0.6186 0.6186 0.5568  3 Pt 3.00-3.06
5 La 0.3352 0.3352 0.4931  4 Pt 2.99-3.05
6 La 0.4115 0.4115 0.1830  4 Pt 3.02-3.04
7 La 0.5945 0.5945 0.8181  3 Pt 2.87-2.93
8 La 0.7181 0.7181 0.0487  3 Pt 2.90-2.96
9 La 0.7247 0.7247 0.3134  3 Pt 2.88-2.94
10 La 0.9136 0.9136 0.6835  4 Pt 3.01-3.08
11 Pt 0.4368 0.4368 0.6788  4 La 2.89-3.01, 2 Ac 3.06-3.16
12 Pt 0.5039 0.5039 0.9948  3 La 2.87-3.04, 2 Ac 3.00
13 Pt 0.5162 0.5162 0.3711  3 La 2.94-3.05, 3 Ac 3.00
14 Pt 0.8077 0.8077 0.8689  3 La 2.91-3.08, 3 Ac 3.00-3.16
15 Pt 0.8282 0.8282 0.4893  4 La 2.88-3.02, 2 Ac 3.01-3.13
16 Pt 0.8830 0.8830 0.1818  4 La 2.90-3.02, 2 Ac 3.11-3.12

Record 6
Material: Ac5La2Pt4
Method: DFT, GGA-PBE
State: relaxed

## Properties
- ΔE_f (kJ/mol of formula units) = -935.0
- space group = No. 12
- DFT total energy (eV/atom) = -5.8410
- total magnetic moment (μB/f.u.) = 0.0

abc: 9.4380 9.4380 10.6165
angles: 119.11 119.11 25.95
With the nearest neighbours (Å) after each atom.
Fractional positions:
1 Ac 0.0000 0.0000 0.0000  4 Pt 3.28
2 Ac 0.2450 0.2450 0.1591  5 Pt 3.12-3.28
3 Ac 0.3536 0.3536 0.6269  3 Pt 3.02-3.20
4 Ac 0.6464 0.6464 0.3731  3 Pt 3.02-3.20
5 Ac 0.7550 0.7550 0.8409  5 Pt 3.12-3.28
6 La 0.0484 0.0484 0.6977  3 Pt 2.96-2.97
7 La 0.9516 0.9516 0.3023  3 Pt 2.96-2.97
8 Pt 0.1708 0.1708 0.5934  1 La 2.96, 5 Ac 3.02-3.20
9 Pt 0.3914 0.3914 0.0766  2 La 2.97, 5 Ac 3.22-3.28
10 Pt 0.6086 0.6086 0.9234  2 La 2.97, 5 Ac 3.22-3.28
11 Pt 0.8292 0.8292 0.4066  1 La 2.96, 5 Ac 3.02-3.20

Record 7
Material: Ac6LaPt4
Method: DFT, GGA-PBE
State: relaxed

## Properties
- ΔE_f (kJ/mol of formula units) = -791.6
- space group = No. 8
- DFT total energy (eV/atom) = -5.6315
- total magnetic moment (μB/f.u.) = 0.0

abc: 6.3824 6.3824 10.0358
angles: 110.17 110.17 84.35
With the nearest neighbours (Å) after each atom.
Fractional positions:
1 Ac 0.0000 0.0000 0.0000  5 Pt 3.14-3.32
2 Ac 0.3713 0.8915 0.7150  5 Pt 3.06-3.28
3 Ac 0.4688 0.9646 0.3817  2 Pt 3.17-3.18, 2 La 3.27-3.28
4 Ac 0.5432 0.5432 0.9972  5 Pt 3.13-3.32
5 Ac 0.8915 0.3713 0.7150  5 Pt 3.06-3.28
6 Ac 0.9646 0.4688 0.3817  2 Pt 3.17-3.18, 2 La 3.27-3.28
7 La 0.4228 0.4228 0.2978  2 Pt 2.93, 4 Ac 3.27-3.28
8 Pt 0.0649 0.5379 0.0592  1 La 2.93, 3 Ac 3.06-3.17
9 Pt 0.3592 0.3592 0.6447  7 Ac 3.13-3.28
10 Pt 0.5379 0.0649 0.0592  1 La 2.93, 3 Ac 3.06-3.17
11 Pt 0.8361 0.8361 0.6469  7 Ac 3.14-3.27

Record 8
Material: Ac3La2Pt3
Method: DFT, GGA-PBE
State: relaxed

## Properties
- ΔE_f (kJ/mol of formula units) = -642.0
- space group = No. 1
- DFT total energy (eV/atom) = -5.8695
- total magnetic moment (μB/f.u.) = 0.0

abc: 5.9648 7.3861 14.8644
angles: 88.73 89.99 66.19
With the nearest neighbours (Å) after each atom.
Fractional positions:
1 Ac 0.0000 0.0000 0.0000  3 Pt 2.98-3.05
2 Ac 0.0067 0.9872 0.2617  3 Pt 2.96-3.05
3 Ac 0.2036 0.5928 0.6336  4 Pt 3.00-3.18
4 Ac 0.5984 0.8026 0.8077  4 Pt 2.99-3.21
5 Ac 0.7020 0.5974 0.1322  4 Pt 3.00-3.15
6 Ac 0.9055 0.1896 0.5058  3 Pt 2.99-3.06
7 La 0.2794 0.4433 0.9463  4 Pt 2.99-3.10
8 La 0.2908 0.4196 0.3161  4 Pt 2.99-3.11
9 La 0.6216 0.7566 0.4451  4 Pt 2.99-3.05
10 La 0.8843 0.2328 0.7669  3 Pt 2.87-2.95
11 Pt 0.0948 0.8098 0.8209  2 La 2.95-3.06, 4 Ac 2.98-3.18
12 Pt 0.1140 0.7718 0.4375  3 Ac 2.96-3.13, 3 La 2.99-3.02
13 Pt 0.1781 0.6453 0.1313  4 Ac 3.00-3.05, 2 La 3.10-3.11
14 Pt 0.7272 0.5455 0.6292  2 La 2.91-3.05, 4 Ac 3.00-3.21
15 Pt 0.7879 0.4264 0.9367  3 La 2.87-2.99, 3 Ac 3.01-3.15
16 Pt 0.7988 0.4038 0.3274  3 La 2.99, 3 Ac 2.99-3.15